Entry 1:
The following is a GGA-PBE calculation of a geometry-optimized Tc7C6 structure, from Alexandria via LeMat-Bulk.

Calculated values
- formation energy (eV/atom) = 1.23
- volume (Å³/cell) = 165.8

```
Tc7C6
1.0
7.2885 0.0032 0.0020
5.2931 5.0105 0.0020
5.2931 2.1092 4.5449
C Tc
6 7
Direct
0.8923 0.8923 0.8923 C
0.8209 0.8209 0.8209 C
0.1791 0.1791 0.1791 C
0.1077 0.1077 0.1077 C
0.6630 0.6630 0.6630 C
0.3370 0.3370 0.3370 C
0.9392 0.4212 0.4212 Tc
0.4212 0.9392 0.4212 Tc
0.5000 0.5000 0.5000 Tc
0.0608 0.5788 0.5788 Tc
0.5788 0.5788 0.0608 Tc
0.5788 0.0608 0.5788 Tc
0.4212 0.4212 0.9392 Tc
```

***

Entry 2:
The following is a GGA-PBE calculation of a geometry-optimized Nd2ZnAu6 structure, from Alexandria via LeMat-Bulk.

Calculated values
- formation energy (eV/atom) = -0.59
- volume (Å³/cell) = 193.1

```
Nd2ZnAu6
1.0
5.5483 -0.0241 -0.0140
0.0299 6.3404 0.0088
0.0299 3.1665 5.4930
Zn Au Nd
1 6 2
Direct
0.0000 0.0000 0.0000 Zn
0.6915 0.1806 0.1806 Au
0.3088 0.3608 0.8197 Au
0.3088 0.8197 0.3608 Au
0.6912 0.1803 0.6392 Au
0.3085 0.8194 0.8194 Au
0.6912 0.6392 0.1803 Au
0.8239 0.6666 0.6666 Nd
0.1761 0.3334 0.3334 Nd
```

***

> formation energy of number 2 (Nd2ZnAu6)?

-0.59 eV/atom

***

> Which formula does entry 2 have?

Nd2ZnAu6

***

> volume of number 1 (Tc7C6)?

165.8 Å³/cell